Entry 1:
Entry from Alexandria via LeMat-Bulk: a geometry-optimized Cr2MoHW structure (PBE).

Space group: No. 123

Cell: 3.7607 3.7607 4.1504 Å, 90.00 90.00 90.00°
Last column: nearest neighbours and their distance in Å.
Fractional positions:
1 W 0.5000 0.5000 0.5000  4 Mo 2.66, 8 Cr 2.80
2 Mo 0.0000 0.0000 0.5000  2 H 2.08
3 Cr 0.5000 0.0000 0.0000  2 H 1.88
4 Cr 0.0000 0.5000 0.0000  2 H 1.88
5 H 0.0000 0.0000 0.0000  4 Cr 1.88, 2 Mo 2.08



Entry 2:
Entry from Alexandria via LeMat-Bulk: a geometry-optimized Hg12Bi3Sb5 structure (PBE).

Space group: No. 230

Cell: 15.0318 15.0318 15.0318 Å, 109.47 109.47 109.47°
Last column: nearest neighbours and their distance in Å.
Fractional positions:
1 Sb 0.2500 0.8750 0.1250  4 Hg 2.81
2 Sb 0.7500 0.1250 0.8750  4 Hg 2.81
3 Sb 0.6250 0.8750 0.2500  4 Hg 2.81
4 Sb 0.5000 0.0000 0.5000  6 Hg 2.96
5 Sb 0.0000 0.5000 0.0000  6 Hg 2.96
6 Sb 0.0000 0.5000 0.5000  6 Hg 2.96
7 Sb 0.0000 0.0000 0.0000  6 Hg 2.96
8 Sb 0.0000 0.0000 0.5000  6 Hg 2.96
9 Sb 0.1250 0.7500 0.3750  4 Hg 2.81
10 Sb 0.1250 0.3750 0.2500  4 Hg 2.81
11 Sb 0.6250 0.7500 0.8750  4 Hg 2.81
12 Sb 0.8750 0.6250 0.7500  4 Hg 2.81
13 Sb 0.3750 0.1250 0.7500  4 Hg 2.81
14 Sb 0.5000 0.0000 0.0000  6 Hg 2.96
15 Sb 0.7500 0.6250 0.3750  4 Hg 2.81
16 Sb 0.8750 0.2500 0.6250  4 Hg 2.81
17 Sb 0.3750 0.2500 0.1250  4 Hg 2.81
18 Sb 0.2500 0.3750 0.6250  4 Hg 2.81
19 Sb 0.5000 0.5000 0.5000  6 Hg 2.96
20 Sb 0.5000 0.5000 0.0000  6 Hg 2.96
21 Hg 0.1013 0.9272 0.3734  2 Sb 2.81-2.96, 1 Bi 3.05
22 Hg 0.4462 0.6740 0.0728  2 Sb 2.81-2.96, 1 Bi 3.05
23 Hg 0.0538 0.6266 0.7279  2 Sb 2.81-2.96, 1 Bi 3.05
24 Hg 0.1740 0.0728 0.9462  2 Sb 2.81-2.96, 1 Bi 3.05
25 Hg 0.3734 0.4272 0.1013  2 Sb 2.81-2.96, 1 Bi 3.05
26 Hg 0.2279 0.5538 0.6266  2 Sb 2.81-2.96, 1 Bi 3.05
27 Hg 0.5728 0.9462 0.6740  2 Sb 2.81-2.96, 1 Bi 3.05
28 Hg 0.2721 0.3987 0.8260  2 Sb 2.81-2.96, 1 Bi 3.05
29 Hg 0.0538 0.4272 0.8260  2 Sb 2.81-2.96, 1 Bi 3.05
30 Hg 0.8260 0.8987 0.2721  2 Sb 2.81-2.96, 1 Bi 3.05
31 Hg 0.6740 0.4462 0.5728  2 Sb 2.81-2.96, 1 Bi 3.05
32 Hg 0.5538 0.2279 0.1266  2 Sb 2.81-2.96, 1 Bi 3.05
33 Hg 0.7279 0.1266 0.0538  2 Sb 2.81-2.96, 1 Bi 3.05
34 Hg 0.2279 0.6740 0.1013  2 Sb 2.81-2.96, 1 Bi 3.05
35 Hg 0.3260 0.7721 0.3987  2 Sb 2.81-2.96, 1 Bi 3.05
36 Hg 0.1740 0.1013 0.7279  2 Sb 2.81-2.96, 1 Bi 3.05
37 Hg 0.6013 0.8734 0.4272  2 Sb 2.81-2.96, 1 Bi 3.05
38 Hg 0.6013 0.7279 0.6740  2 Sb 2.81-2.96, 1 Bi 3.05
39 Hg 0.7279 0.6013 0.1740  2 Sb 2.81-2.96, 1 Bi 3.05
40 Hg 0.4272 0.0538 0.3260  2 Sb 2.81-2.96, 1 Bi 3.05
41 Hg 0.1013 0.1740 0.2279  2 Sb 2.81-2.96, 1 Bi 3.05
42 Hg 0.7721 0.3260 0.8987  2 Sb 2.81-2.96, 1 Bi 3.05
43 Hg 0.0728 0.8987 0.1266  2 Sb 2.81-2.96, 1 Bi 3.05
44 Hg 0.3260 0.5538 0.4272  2 Sb 2.81-2.96, 1 Bi 3.05
45 Hg 0.3987 0.1266 0.5728  2 Sb 2.81-2.96, 1 Bi 3.05
46 Hg 0.8734 0.2721 0.4462  2 Sb 2.81-2.96, 1 Bi 3.05
47 Hg 0.6266 0.5728 0.8987  2 Sb 2.81-2.96, 1 Bi 3.05
48 Hg 0.0728 0.1740 0.4462  2 Sb 2.81-2.96, 1 Bi 3.05
49 Hg 0.3734 0.9462 0.7721  2 Sb 2.81-2.96, 1 Bi 3.05
50 Hg 0.1266 0.3987 0.0728  2 Sb 2.81-2.96, 1 Bi 3.05
51 Hg 0.3987 0.2721 0.3260  2 Sb 2.81-2.96, 1 Bi 3.05
52 Hg 0.6266 0.0538 0.2279  2 Sb 2.81-2.96, 1 Bi 3.05
53 Hg 0.5728 0.6266 0.3987  2 Sb 2.81-2.96, 1 Bi 3.05
54 Hg 0.8987 0.0728 0.6266  2 Sb 2.81-2.96, 1 Bi 3.05
55 Hg 0.9272 0.8260 0.5538  2 Sb 2.81-2.96, 1 Bi 3.05
56 Hg 0.6740 0.2279 0.6013  2 Sb 2.81-2.96, 1 Bi 3.05
57 Hg 0.9462 0.3734 0.2721  2 Sb 2.81-2.96, 1 Bi 3.05
58 Hg 0.8987 0.8260 0.7721  2 Sb 2.81-2.96, 1 Bi 3.05
59 Hg 0.7721 0.4462 0.3734  2 Sb 2.81-2.96, 1 Bi 3.05
60 Hg 0.5538 0.3260 0.9272  2 Sb 2.81-2.96, 1 Bi 3.05
61 Hg 0.9462 0.5728 0.1740  2 Sb 2.81-2.96, 1 Bi 3.05
62 Hg 0.8734 0.6013 0.9272  2 Sb 2.81-2.96, 1 Bi 3.05
63 Hg 0.4462 0.7721 0.8734  2 Sb 2.81-2.96, 1 Bi 3.05
64 Hg 0.4272 0.3734 0.6013  2 Sb 2.81-2.96, 1 Bi 3.05
65 Hg 0.1266 0.7279 0.5538  2 Sb 2.81-2.96, 1 Bi 3.05
66 Hg 0.9272 0.1013 0.8734  2 Sb 2.81-2.96, 1 Bi 3.05
67 Hg 0.8260 0.9272 0.0538  2 Sb 2.81-2.96, 1 Bi 3.05
68 Hg 0.2721 0.8734 0.9462  2 Sb 2.81-2.96, 1 Bi 3.05
69 Bi 0.8750 0.7500 0.1250  8 Hg 3.05-3.39
70 Bi 0.1250 0.8750 0.7500  8 Hg 3.05-3.39
71 Bi 0.7500 0.8750 0.6250  8 Hg 3.05-3.39
72 Bi 0.3750 0.6250 0.2500  8 Hg 3.05-3.39
73 Bi 0.1250 0.2500 0.8750  8 Hg 3.05-3.39
74 Bi 0.6250 0.2500 0.3750  8 Hg 3.05-3.39
75 Bi 0.3750 0.7500 0.6250  8 Hg 3.05-3.39
76 Bi 0.8750 0.1250 0.2500  8 Hg 3.05-3.39
77 Bi 0.7500 0.3750 0.1250  8 Hg 3.05-3.39
78 Bi 0.2500 0.6250 0.8750  8 Hg 3.05-3.39
79 Bi 0.2500 0.1250 0.3750  8 Hg 3.05-3.39
80 Bi 0.6250 0.3750 0.7500  8 Hg 3.05-3.39



Total moment list, top to bottom, in Bohr magnetons per cell: 1.42 0.00
VASP energy list, top to bottom, in eV/atom: -9.0084 -1.6342